[1]
# CaTc2Ag

A relaxed structure of CaTc2Ag (GGA-PBE, Alexandria).

The value obtained for the distance to the lowest polymorph of the same formula is 545 meV/atom. Its crystal system is tetragonal. The formation enthalpy at 0 K is 0.750 eV/atom.

```
data_CaTc2Ag
_space_group_name_H-M_alt 'P 4/m m m'
_space_group_IT_number 123
_space_group_name_Hall '-P 4 2'
_cell_length_a 3.535
_cell_length_b 3.535
_cell_length_c 6.529
_cell_angle_alpha 90.00
_cell_angle_beta 90.00
_cell_angle_gamma 90.00
loop_
_atom_site_label
_atom_site_type_symbol
_atom_site_fract_x
_atom_site_fract_y
_atom_site_fract_z
_atom_site_occupancy
Ca1 Ca 0.000 0.000 0.000 1
Tc1 Tc 0.500 0.500 0.327 1
Ag1 Ag 0.000 0.000 0.500 1
```

***

[2]
# Ca2ZrTcAg

A relaxed structure of Ca2ZrTcAg (GGA-PBE, Alexandria).

Its crystal system is tetragonal. The formation enthalpy at 0 K is 1.092 eV/atom.

```
data_Ca2ZrTcAg
_space_group_name_H-M_alt 'P 4/m m m'
_space_group_IT_number 123
_space_group_name_Hall '-P 4 2'
_cell_length_a 5.355
_cell_length_b 5.355
_cell_length_c 5.354
_cell_angle_alpha 90.00
_cell_angle_beta 90.00
_cell_angle_gamma 90.00
loop_
_atom_site_label
_atom_site_type_symbol
_atom_site_fract_x
_atom_site_fract_y
_atom_site_fract_z
_atom_site_occupancy
Ca1 Ca 0.000 0.500 0.000 1
Zr1 Zr 0.000 0.000 0.500 1
Tc1 Tc 0.500 0.500 0.500 1
Ag1 Ag 0.000 0.000 0.000 1
```

***

[3]
# Ca2Ag2Te

A relaxed structure of Ca2Ag2Te (GGA-PBE, Alexandria).

The value obtained for the distance to the lowest polymorph of the same formula is 55 meV/atom. Its crystal system is tetragonal. The formation energy from raw total energies comes out at -0.5514 eV per atom.

```
data_Ca2Ag2Te
_space_group_name_H-M_alt 'P 4/m b m'
_space_group_IT_number 127
_space_group_name_Hall '-P 4 2ab'
_cell_length_a 7.976
_cell_length_b 7.976
_cell_length_c 4.132
_cell_angle_alpha 90.00
_cell_angle_beta 90.00
_cell_angle_gamma 90.00
loop_
_atom_site_label
_atom_site_type_symbol
_atom_site_fract_x
_atom_site_fract_y
_atom_site_fract_z
_atom_site_occupancy
Ca1 Ca 0.176 0.324 0.000 1
Ag1 Ag 0.121 0.621 0.500 1
Te1 Te 0.000 0.000 0.500 1
```

***

[4]
# CaAgTe

A relaxed structure of CaAgTe (GGA-PBE, Alexandria).

The value obtained for the distance to the lowest polymorph of the same formula is 55 meV/atom. Its crystal system is tetragonal. The formation energy from raw total energies comes out at -0.5854 eV per atom.

```
data_CaAgTe
_space_group_name_H-M_alt 'I 4 m m'
_space_group_IT_number 107
_space_group_name_Hall 'I 4 -2'
_cell_length_a 4.126
_cell_length_b 4.126
_cell_length_c 9.528
_cell_angle_alpha 90.00
_cell_angle_beta 90.00
_cell_angle_gamma 90.00
loop_
_atom_site_label
_atom_site_type_symbol
_atom_site_fract_x
_atom_site_fract_y
_atom_site_fract_z
_atom_site_occupancy
Ca1 Ca 0.000 0.000 0.000 1
Ag1 Ag 0.000 0.000 0.670 1
Te1 Te 0.000 0.000 0.355 1
```

***

no.,volume (Å³/atom),final energy (eV per atom)
1,20.4,-5.646
2,30.7,-4.062
3,26.3,-3.121
4,27.0,-3.250